## AsAu2Cl (GGA-PBE)

Data for a relaxed structure of AsAu2Cl.

**Raw formation energy**: 0.095 eV per atom
**Theoretical density**: 9.78 Mg/m³
**D(E_F)**: 0.125 states/eV per atom

Cell lengths 7.527, 7.527, 7.527 Å; angles 155.19, 151.37, 38.23 degrees
Positions (direct):
1 As 0.000 0.000 0.000
2 Au 0.141 0.641 0.500
3 Au 0.414 0.414 0.000
4 Cl 0.766 0.266 0.500

## AsAuCl2 (GGA-PBE)

Data for a relaxed structure of AsAuCl2.

**Raw formation energy**: 0.285 eV per atom
**Theoretical density**: 6.68 Mg/m³
**D(E_F)**: 0.562 states/eV per atom

Cell lengths 10.004, 10.004, 10.004 Å; angles 18.19, 18.19, 18.19 degrees
Positions (direct):
1 As 0.000 0.000 0.000
2 Au 0.500 0.500 0.500
3 Cl 0.266 0.266 0.266
4 Cl 0.734 0.734 0.734

## CoAsAuCl2 (GGA-PBE)

Data for a relaxed structure of CoAsAuCl2.

**Raw formation energy**: 0.253 eV per atom
**Theoretical density**: 6.53 Mg/m³
**D(E_F)**: 1.413 states/eV per atom

Cell lengths 4.334, 4.334, 5.436 Å; angles 90.00, 90.00, 90.00 degrees
Positions (direct):
1 Co 0.000 0.000 0.000
2 As 0.000 0.000 0.500
3 Au 0.500 0.500 0.500
4 Cl 0.000 0.500 0.000
5 Cl 0.500 0.000 0.000

Question: Among the records above, which one has the lowest theoretical density?
Answer: CoAsAuCl2

Question: The highest D(E_F) belongs to which entry?
Answer: CoAsAuCl2

Please write out number 3 again, unchanged.
## CoAsAuCl2 (GGA-PBE)

Data for a relaxed structure of CoAsAuCl2.

**Raw formation energy**: 0.253 eV per atom
**Theoretical density**: 6.53 Mg/m³
**D(E_F)**: 1.413 states/eV per atom

Cell lengths 4.334, 4.334, 5.436 Å; angles 90.00, 90.00, 90.00 degrees
Positions (direct):
1 Co 0.000 0.000 0.000
2 As 0.000 0.000 0.500
3 Au 0.500 0.500 0.500
4 Cl 0.000 0.500 0.000
5 Cl 0.500 0.000 0.000

Question: Which of these has the lowest theoretical density?
Answer: CoAsAuCl2